Entry 1:
ZnRu2: relaxed, PBE-GGA.

a b c (Å): 4.6038 4.6038 4.4625
angles (deg): 90.00 90.00 118.25
With the nearest neighbours (Å) after each atom.
Positions (direct):
Zn  0.1733  0.1733  0.2500  10 Ru 2.65-2.70, 2 Zn 2.77
Zn  0.8267  0.8267  0.7500  10 Ru 2.65-2.70, 2 Zn 2.77
Ru  0.8380  0.5088  0.2500  7 Ru 2.60-2.77, 5 Zn 2.65-2.70
Ru  0.1620  0.4912  0.7500  7 Ru 2.60-2.77, 5 Zn 2.65-2.70
Ru  0.5088  0.8380  0.2500  7 Ru 2.60-2.77, 5 Zn 2.65-2.70
Ru  0.4912  0.1620  0.7500  7 Ru 2.60-2.77, 5 Zn 2.65-2.70

Summary:
- Formation enthalpy at 0 K: 0.07 eV per atom
- D(E_F): 6.96 states/eV/cell
- Total DFT energy (no corrections): -6.540 eV/atom
- Space-group type: No. 63

=====

Entry 2:
Rb2HfAu: relaxed, PBE-GGA.

a b c (Å): 6.0569 6.0569 6.0569
angles (deg): 60.00 60.00 60.00
With the nearest neighbours (Å) after each atom.
Positions (direct):
Hf  0.0000  0.0000  0.0000  8 Rb 3.71
Au  0.5000  0.5000  0.5000  8 Rb 3.71
Rb  0.2500  0.2500  0.2500  4 Hf 3.71, 4 Au 3.71
Rb  0.7500  0.7500  0.7500  4 Hf 3.71, 4 Au 3.71

Summary:
- Formation enthalpy at 0 K: 1.13 eV per atom
- D(E_F): 14.52 states/eV/cell
- Total DFT energy (no corrections): -2.662 eV/atom
- Space-group type: No. 225
- Polymorph energy (0 for the lowest one): 455 meV/atom

=====

Entry 3:
LaPm3Er2Tm6: relaxed, PBE-GGA.

a b c (Å): 6.1622 6.1622 11.7213
angles (deg): 95.02 95.02 119.98
With the nearest neighbours (Å) after each atom.
Positions (direct):
La  0.0000  0.0000  0.0000  6 Tm 3.54, 6 Er 3.56
Pm  0.1670  0.8330  0.5000  6 Tm 3.54-3.55, 6 Pm 3.55-3.56
Pm  0.8330  0.1670  0.5000  6 Tm 3.54-3.55, 6 Pm 3.55-3.56
Pm  0.5000  0.5000  0.5000  6 Tm 3.54-3.55, 6 Pm 3.55-3.56
Er  0.3332  0.6668  0.0000  6 Tm 3.53-3.54, 3 La 3.56, 3 Er 3.56
Er  0.6668  0.3332  0.0000  6 Tm 3.53-3.54, 3 La 3.56, 3 Er 3.56
Tm  0.9166  0.5820  0.7506  2 Er 3.53, 3 Pm 3.54-3.55, 1 La 3.54, 6 Tm 3.55-3.57
Tm  0.7487  0.7487  0.2495  2 Er 3.54, 1 La 3.54, 3 Pm 3.54-3.55, 6 Tm 3.55-3.57
Tm  0.0834  0.4180  0.2494  2 Er 3.53, 3 Pm 3.54-3.55, 1 La 3.54, 6 Tm 3.55-3.57
Tm  0.5820  0.9166  0.7506  2 Er 3.53, 3 Pm 3.54-3.55, 1 La 3.54, 6 Tm 3.55-3.57
Tm  0.2513  0.2513  0.7505  2 Er 3.54, 1 La 3.54, 3 Pm 3.54-3.55, 6 Tm 3.55-3.57
Tm  0.4180  0.0834  0.2494  2 Er 3.53, 3 Pm 3.54-3.55, 1 La 3.54, 6 Tm 3.55-3.57

Summary:
- Formation enthalpy at 0 K: 0.02 eV per atom
- D(E_F): 14.84 states/eV/cell
- Total DFT energy (no corrections): -4.572 eV/atom
- Space-group type: No. 12

=====

Entry 4:
CeU2AgSe5: relaxed, PBE-GGA.

a b c (Å): 7.5638 7.5638 9.0006
angles (deg): 114.85 114.85 90.00
With the nearest neighbours (Å) after each atom.
Positions (direct):
Ce  0.2500  0.2500  0.5000  8 Se 3.20
Ce  0.7500  0.7500  0.5000  8 Se 3.20
U  0.1138  0.3862  0.0000  1 U 2.44
U  0.6138  0.1138  0.0000  1 U 2.44
U  0.3862  0.8862  0.0000  1 U 2.44
U  0.8862  0.6138  0.0000  1 U 2.44
Ag  0.2500  0.7500  0.5000  4 Se 2.57
Ag  0.7500  0.2500  0.5000  4 Se 2.57
Se  0.9518  0.4518  0.2765  1 Ag 2.57
Se  0.6753  0.1753  0.7235  1 Ag 2.57
Se  0.0482  0.5482  0.7235  1 Ag 2.57
Se  0.1753  0.0482  0.7235  1 Ag 2.57
Se  0.5482  0.6753  0.7235  1 Ag 2.57
Se  0.8247  0.9518  0.2765  1 Ag 2.57
Se  0.4518  0.3247  0.2765  1 Ag 2.57
Se  0.3247  0.8247  0.2765  1 Ag 2.57
Se  0.5000  0.5000  0.0000  4 U 3.05, 8 Se 3.41
Se  0.0000  0.0000  0.0000  4 U 3.05, 8 Se 3.41

Summary:
- ΔE_f (raw): -1.0256 eV/atom
- D(E_F): 24.76 states/eV/cell
- Total DFT energy (no corrections): -6.446 eV/atom
- Space-group type: No. 140

=====

Entry 5:
RbH2ICl8: relaxed, PBE-GGA.

a b c (Å): 6.9546 6.9415 9.2589
angles (deg): 107.08 80.06 105.51
With the nearest neighbours (Å) after each atom.
Positions (direct):
Rb  0.0000  0.0000  0.5000  6 Cl 3.35-3.50
H  0.4188  0.2726  0.7577  1 Cl 1.31
H  0.5812  0.7274  0.2423  1 Cl 1.31
I  0.0000  0.0000  0.0000  6 Cl 2.50-2.51
Cl  0.1191  0.7917  0.1307  1 I 2.50
Cl  0.6569  0.7642  0.0063  1 H 2.23
Cl  0.9031  0.2302  0.2525  1 I 2.51
Cl  0.8809  0.2083  0.8693  1 I 2.50
Cl  0.3431  0.2358  0.9937  1 H 2.23
Cl  0.0969  0.7698  0.7475  1 I 2.51
Cl  0.5326  0.7101  0.3820  1 H 1.31
Cl  0.4674  0.2899  0.6180  1 H 1.31

Summary:
- D(E_F): 0.00 states/eV/cell
- Total DFT energy (no corrections): -2.579 eV/atom
- Space-group type: No. 2

=====

Entry 6:
BaCdSn2Pb: relaxed, PBE-GGA.

a b c (Å): 5.0824 5.0824 7.4007
angles (deg): 110.08 110.08 90.00
With the nearest neighbours (Å) after each atom.
Positions (direct):
Ba  0.0000  0.0000  0.0000  8 Sn 3.89, 4 Pb 4.11, 4 Cd 4.11
Cd  0.2500  0.7500  0.5000  4 Sn 3.09
Sn  0.6143  0.6143  0.2287  1 Sn 2.96, 2 Pb 3.09, 2 Cd 3.09
Sn  0.3857  0.3857  0.7713  1 Sn 2.96, 2 Cd 3.09, 2 Pb 3.09
Pb  0.7500  0.2500  0.5000  4 Sn 3.09

Summary:
- Formation enthalpy at 0 K: -0.32 eV per atom
- D(E_F): 1.63 states/eV/cell
- Total DFT energy (no corrections): -3.226 eV/atom
- Space-group type: No. 119
- Polymorph energy (0 for the lowest one): 0 meV/atom

=====

- Among the records above, which one has the highest total DFT energy (no corrections)?
  RbH2ICl8